(1)
Material: Ti5NbAs4
Method: DFT, GGA-PBE
State: relaxed

E_form ... -0.53 eV per atom
Total magnetization ... 0.000 Bohr magnetons per cell

Lattice parameters (Å, degrees): 14.378 3.889 6.654 90.00 101.97 90.00
Space group C2/m (No. 12)
Symmetry-distinct sites (fractional):
Ti (0.000, 0.000, 0.000)
Ti (0.149, 0.500, 0.971)
Ti (0.177, 0.500, 0.495)
Nb (0.000, 0.000, 0.500)
As (0.028, 0.500, 0.245)
As (0.194, 0.000, 0.742)

=====

(2)
Material: TiNb3As
Method: DFT, GGA-PBE
State: relaxed

Energy relative to the lowest polymorph listed for this composition ... 0.000 eV per atom
E_form ... 0.62 eV per atom
Total magnetization ... 0.000 Bohr magnetons per cell

Lattice parameters (Å, degrees): 4.745 4.745 4.745 90.00 90.00 90.00
Space group Pm-3m (No. 221)
Symmetry-distinct sites (fractional):
Ti (0.000, 0.000, 0.000)
Nb (0.000, 0.500, 0.500)
As (0.500, 0.500, 0.500)